No. 1
Compound: Cs2Tl5Pb4
Source: Alexandria
Functional: GGA-PBE
Structure: optimized geometry

Results
- ΔH_f (0 K) (meV per atom) = -22

Cell: 8.466 8.466 10.595 Å, 125.08 125.08 50.12°
Fractional positions:
Cs: 0.228 0.228 0.304
Cs: 0.772 0.772 0.696
Tl: 0.243 0.719 0.268
Tl: 0.281 0.757 0.732
Tl: 0.500 0.500 0.000
Tl: 0.719 0.243 0.268
Tl: 0.757 0.281 0.732
Pb: 0.133 0.133 0.591
Pb: 0.246 0.246 0.960
Pb: 0.754 0.754 0.040
Pb: 0.867 0.867 0.409

=====

No. 2
Compound: Nb3VIn
Source: Alexandria
Functional: GGA-PBE
Structure: optimized geometry

Results
- ΔH_f (0 K) (meV per atom) = 769
- energy above the lowest structure with this stoichiometry (eV per formula unit) = 0.000

Cell: 4.683 4.683 4.683 Å, 90.00 90.00 90.00°
Fractional positions:
Nb: 0.000 0.000 0.500
Nb: 0.000 0.500 0.000
Nb: 0.500 0.000 0.000
V: 0.000 0.000 0.000
In: 0.500 0.500 0.500

=====

No. 3
Compound: BeTcIr2
Source: Alexandria
Functional: GGA-PBE
Structure: optimized geometry

Results
- ΔH_f (0 K) (meV per atom) = -219

Cell: 4.965 4.965 4.965 Å, 147.37 127.67 63.05°
Fractional positions:
Be: 0.000 0.000 0.000
Tc: 0.500 0.500 0.000
Ir: 0.219 0.719 0.500
Ir: 0.781 0.281 0.500

=====

No. 4
Compound: Dy8Pd2Ru
Source: Alexandria
Functional: GGA-PBE
Structure: optimized geometry

Results
- ΔH_f (0 K) (meV per atom) = -413
- energy above the lowest structure with this stoichiometry (eV per formula unit) = 0.000

Cell: 8.967 8.967 6.755 Å, 105.39 105.39 32.93°
Fractional positions:
Dy: 0.031 0.031 0.292
Dy: 0.201 0.201 0.815
Dy: 0.336 0.336 0.530
Dy: 0.410 0.410 0.061
Dy: 0.590 0.590 0.939
Dy: 0.664 0.664 0.470
Dy: 0.799 0.799 0.185
Dy: 0.969 0.969 0.708
Pd: 0.188 0.188 0.217
Pd: 0.812 0.812 0.783
Ru: 0.500 0.500 0.500

=====

No. 5
Compound: KTe8Au2
Source: Alexandria
Functional: GGA-PBE
Structure: optimized geometry

Results
- energy relative to the elements, uncorrected (eV per atom) = -0.0685

Cell: 10.951 10.951 5.302 Å, 102.70 102.70 130.57°
Fractional positions:
K: 0.000 0.000 0.000
Te: 0.041 0.343 0.431
Te: 0.253 0.747 0.000
Te: 0.343 0.041 0.431
Te: 0.430 0.430 0.700
Te: 0.570 0.570 0.300
Te: 0.657 0.959 0.569
Te: 0.747 0.253 0.000
Te: 0.959 0.657 0.569
Au: 0.346 0.654 0.500
Au: 0.654 0.346 0.500

=====

No. 6
Compound: CaNd3Sm
Source: Alexandria
Functional: GGA-PBE
Structure: optimized geometry

Results
- ΔH_f (0 K) (meV per atom) = 355
- energy above the lowest structure with this stoichiometry (eV per formula unit) = 0.968

Cell: 12.472 12.472 12.472 Å, 28.88 28.88 28.88°
Fractional positions:
Ca: 0.166 0.166 0.166
Ca: 0.834 0.834 0.834
Nd: 0.083 0.748 0.409
Nd: 0.252 0.591 0.917
Nd: 0.409 0.083 0.748
Nd: 0.591 0.917 0.252
Nd: 0.748 0.409 0.083
Nd: 0.917 0.252 0.591
Sm: 0.334 0.334 0.334
Sm: 0.666 0.666 0.666

=====

Number 1: spin magnetization 0.00 μB/f.u.. Number 2: spin magnetization 0.00 μB/f.u.. Number 3: spin magnetization 0.00 μB/f.u.. Number 4: spin magnetization 0.00 μB/f.u.. Number 5: spin magnetization 0.00 μB/f.u.. Number 6: spin magnetization 0.00 μB/f.u..